Entry 1:
DFT (PBE) results for a relaxed LiVTe4 crystal.

Cell lengths 8.852, 8.852, 6.337 Å; angles 110.45, 110.45, 118.73 degrees
Fractional positions:
Li  0.200  0.800  0.750
Li  0.800  0.200  0.250
V  0.496  0.504  0.250
V  0.504  0.496  0.750
Te  0.116  0.241  0.681
Te  0.241  0.116  0.181
Te  0.242  0.532  0.398
Te  0.468  0.758  0.102
Te  0.532  0.242  0.898
Te  0.758  0.468  0.602
Te  0.759  0.884  0.819
Te  0.884  0.759  0.319

Summary:
electronic total energy: -0.1566 Ha/atom

Entry 2:
DFT (PBE) results for a relaxed Pm4Dy8Pu crystal.

Cell lengths 7.767, 7.767, 7.767 Å; angles 90.20, 90.20, 90.20 degrees
Fractional positions:
Pm  0.000  0.000  0.000
Pm  0.000  0.500  0.500
Pm  0.500  0.000  0.500
Pm  0.500  0.500  0.000
Dy  0.243  0.243  0.755
Dy  0.243  0.755  0.243
Dy  0.244  0.244  0.244
Dy  0.245  0.757  0.757
Dy  0.755  0.243  0.243
Dy  0.756  0.756  0.756
Dy  0.757  0.245  0.757
Dy  0.757  0.757  0.245
Pu  0.500  0.500  0.500

Summary:
calculated formation energy: 0.533 eV per atom

Entry 3:
DFT (PBE) results for a relaxed ErCu8Ni4 crystal.

Cell lengths 6.351, 6.351, 6.351 Å; angles 98.32, 98.32, 135.28 degrees
Fractional positions:
Er  0.000  0.000  0.000
Cu  0.000  0.350  0.350
Cu  0.000  0.650  0.650
Cu  0.279  0.500  0.779
Cu  0.350  0.000  0.350
Cu  0.500  0.279  0.779
Cu  0.500  0.721  0.221
Cu  0.650  0.000  0.650
Cu  0.721  0.500  0.221
Ni  0.000  0.000  0.500
Ni  0.000  0.500  0.000
Ni  0.500  0.000  0.000
Ni  0.500  0.500  0.500

Summary:
calculated formation energy: -0.120 eV per atom

Entry 4:
DFT (PBE) results for a relaxed Sc2BeZn crystal.

Cell lengths 3.001, 3.001, 7.756 Å; angles 90.00, 90.00, 90.00 degrees
Fractional positions:
Sc  0.000  0.000  0.000
Sc  0.500  0.500  0.329
Be  0.500  0.500  0.760
Zn  0.000  0.000  0.597

Summary:
calculated formation energy: -0.024 eV per atom
offset from the most stable computed form: 0.187 eV per atom

Entry 5:
DFT (PBE) results for a relaxed BaSnSbH crystal.

Cell lengths 4.356, 4.356, 14.464 Å; angles 90.00, 90.00, 120.00 degrees
Fractional positions:
Ba  0.333  0.667  0.000
Ba  0.667  0.333  0.500
Sn  0.000  0.000  0.210
Sn  0.000  0.000  0.710
Sb  0.333  0.667  0.313
Sb  0.667  0.333  0.813
H  0.000  0.000  0.480
H  0.000  0.000  0.980

Summary:
electronic total energy: -0.1374 Ha/atom

Entry 6:
DFT (PBE) results for a relaxed TlHgPb6 crystal.

Cell lengths 4.973, 4.973, 9.872 Å; angles 90.00, 90.00, 90.00 degrees
Fractional positions:
Tl  0.000  0.000  0.000
Hg  0.000  0.000  0.500
Pb  0.000  0.500  0.255
Pb  0.000  0.500  0.745
Pb  0.500  0.000  0.255
Pb  0.500  0.000  0.745
Pb  0.500  0.500  0.000
Pb  0.500  0.500  0.500

Summary:
calculated formation energy: -0.001 eV per atom

no.,calculated density (g cm⁻³)
1,6.0
2,7.5
3,9.1
4,3.9
5,5.3
6,11.2